# 1
Below is Sr2YZn after structural relaxation, with properties calculated at the PBE level.

Cell: 3.962 7.280 7.280 Å, 46.12 90.00 90.00°
Atoms (fractional coordinates):
Sr 0.000 0.000 0.000
Sr 0.500 0.297 0.297
Y 0.000 0.690 0.690
Zn 0.500 0.534 0.534

Output
- space group = Amm2
- calculated total energy (eV per cell) = -10.915



# 2
Below is Sr2Y2Zn after structural relaxation, with properties calculated at the PBE level.

Cell: 7.808 7.808 6.183 Å, 90.00 90.00 90.00°
Atoms (fractional coordinates):
Sr 0.170 0.330 0.000
Sr 0.330 0.830 0.000
Sr 0.670 0.170 0.000
Sr 0.830 0.670 0.000
Y 0.153 0.653 0.500
Y 0.347 0.153 0.500
Y 0.653 0.847 0.500
Y 0.847 0.347 0.500
Zn 0.000 0.000 0.500
Zn 0.500 0.500 0.500

Output
- space group = P4/mbm
- calculated total energy (eV per cell) = -33.268



# 3
Below is Sr2YZn after structural relaxation, with properties calculated at the PBE level.

Cell: 6.185 6.185 3.906 Å, 90.00 90.00 105.74°
Atoms (fractional coordinates):
Sr 0.000 0.500 0.000
Sr 0.500 0.000 0.000
Y 0.000 0.000 0.500
Zn 0.500 0.500 0.500

Output
- space group = Cmmm
- calculated total energy (eV per cell) = -10.340



# 4
Below is SrY2Zn6 after structural relaxation, with properties calculated at the PBE level.

Cell: 7.864 7.864 3.635 Å, 90.00 90.00 120.00°
Atoms (fractional coordinates):
Sr 0.000 0.000 0.000
Y 0.333 0.667 0.000
Y 0.667 0.333 0.000
Zn 0.000 0.339 0.500
Zn 0.000 0.661 0.500
Zn 0.339 0.000 0.500
Zn 0.339 0.339 0.500
Zn 0.661 0.000 0.500
Zn 0.661 0.661 0.500

Output
- space group = P6/mmm
- calculated total energy (eV per cell) = -25.008



# 5
Below is Sr2YZn after structural relaxation, with properties calculated at the PBE level.

Cell: 4.524 5.467 5.565 Å, 90.00 90.00 90.00°
Atoms (fractional coordinates):
Sr 0.000 0.000 0.000
Sr 0.500 0.500 0.000
Y 0.000 0.500 0.500
Zn 0.500 0.000 0.500

Output
- space group = Pmmm
- calculated total energy (eV per cell) = -10.346



# 6
Below is SrY3Zn after structural relaxation, with properties calculated at the PBE level.

Cell: 5.676 5.676 5.676 Å, 90.00 90.00 90.00°
Atoms (fractional coordinates):
Sr 0.000 0.000 0.000
Y 0.000 0.000 0.500
Y 0.000 0.500 0.000
Y 0.500 0.000 0.000
Zn 0.500 0.500 0.500

Output
- energy relative to the lowest polymorph listed for this composition (meV/atom) = 1113.6
- space group = Pm-3m
- calculated total energy (eV per cell) = -16.179



# 7
Below is Sr2YZn after structural relaxation, with properties calculated at the PBE level.

Cell: 6.331 6.331 6.331 Å, 131.24 131.24 71.43°
Atoms (fractional coordinates):
Sr 0.000 0.000 0.000
Sr 0.750 0.250 0.500
Y 0.250 0.750 0.500
Zn 0.500 0.500 0.000

Output
- space group = I-4m2
- calculated total energy (eV per cell) = -10.163



# 8
Below is SrYZn after structural relaxation, with properties calculated at the PBE level.

Cell: 5.226 5.226 5.226 Å, 60.00 60.00 60.00°
Atoms (fractional coordinates):
Sr 0.000 0.000 0.000
Y 0.500 0.500 0.500
Zn 0.250 0.250 0.250

Output
- energy relative to the lowest polymorph listed for this composition (meV/atom) = 252.8
- space group = F-43m
- calculated total energy (eV per cell) = -9.035



no.,ρ (g/cm³),energy of formation (eV/atom)
1,3.62,0.047
2,3.69,0.186
3,3.80,0.190
4,5.61,-0.306
5,3.98,0.189
6,3.81,1.234
7,3.90,0.235
8,3.98,0.128